# 1
{
  "formula": "Mn2AlSe",
  "functional": "PBE",
  "state": "optimized geometry",
  "lattice": [[3.667, 0.000, 0.000], [0.000, 4.423, 0.000], [0.000, 0.000, 3.718]],
  "species": ["Se", "Mn", "Mn", "Al"],
  "fractional_positions": [[0.500, 0.000, 0.500], [0.000, 0.000, 0.000], [0.500, 0.500, 0.000], [0.000, 0.500, 0.500]],
  "space_group": "Pmmm, No. 47",
  "dos_at_fermi_per_ev_atom": 0.647,
  "crystal_system": "orthorhombic",
  "e_form_raw_mev_per_atom": 94
}

---

# 2
{
  "formula": "KBaNb",
  "functional": "PBE",
  "state": "optimized geometry",
  "lattice": [[6.772, 0.043, -0.017], [-2.662, 9.878, 0.005], [1.573, 0.369, 4.172]],
  "species": ["Ba", "Nb", "Nb", "Ba", "K", "K"],
  "fractional_positions": [[0.207, 0.184, 0.992], [0.303, 0.540, 0.911], [0.420, 0.493, 0.393], [0.819, 0.380, 0.682], [0.532, 0.895, 0.313], [0.929, 0.745, 0.592]],
  "space_group": "P1, No. 1",
  "dos_at_fermi_per_ev_atom": 0.846,
  "crystal_system": "triclinic",
  "formation_energy_ev_per_atom": 0.708
}

---

# 3
{
  "formula": "Ir2Se",
  "functional": "PBE",
  "state": "optimized geometry",
  "lattice": [[4.456, 0.000, 0.000], [-2.228, 3.859, 0.000], [0.000, 0.000, 2.846]],
  "species": ["Ir", "Ir", "Se"],
  "fractional_positions": [[0.333, 0.667, 0.500], [0.667, 0.333, 0.500], [0.000, 0.000, 0.000]],
  "space_group": "P6/mmm, No. 191",
  "dos_at_fermi_per_ev_atom": 1.073,
  "crystal_system": "hexagonal",
  "e_form_raw_mev_per_atom": 804
}

---

# 4
{
  "formula": "EuTm3B",
  "functional": "PBE",
  "state": "optimized geometry",
  "lattice": [[5.150, 0.000, 0.000], [0.000, 5.150, 0.000], [0.000, 0.000, 5.150]],
  "species": ["Tm", "Tm", "B", "Tm", "Eu"],
  "fractional_positions": [[0.000, 0.000, 0.500], [0.500, 0.000, 0.000], [0.000, 0.000, 0.000], [0.000, 0.500, 0.000], [0.500, 0.500, 0.500]],
  "space_group": "Pm-3m, No. 221",
  "dos_at_fermi_per_ev_atom": 0.828,
  "crystal_system": "cubic",
  "formation_energy_ev_per_atom": 0.047
}

---

# 5
{
  "formula": "Ca6Zn5Ag",
  "functional": "PBE",
  "state": "optimized geometry",
  "lattice": [[4.994, -0.030, 1.661], [0.039, 7.256, 0.013], [0.005, -0.015, 8.292]],
  "species": ["Ca", "Zn", "Ca", "Zn", "Ca", "Zn", "Ca", "Zn", "Ag", "Ca", "Zn", "Ca"],
  "fractional_positions": [[0.500, 0.251, 0.000], [0.666, 0.500, 0.669], [0.833, 0.251, 0.334], [0.332, 0.000, 0.337], [0.167, 0.749, 0.666], [0.668, 0.000, 0.663], [0.833, 0.749, 0.334], [0.334, 0.500, 0.331], [0.000, 0.000, 0.000], [0.500, 0.749, 0.000], [0.000, 0.500, 0.000], [0.167, 0.251, 0.666]],
  "space_group": "P2/m, No. 10",
  "dos_at_fermi_per_ev_atom": 0.737,
  "crystal_system": "monoclinic",
  "formation_energy_ev_per_atom": -0.247
}

---

# 6
{
  "formula": "ZnAgSb2I",
  "functional": "PBE",
  "state": "optimized geometry",
  "lattice": [[5.429, 0.000, 0.000], [0.000, 5.429, 0.000], [0.000, 0.000, 5.774]],
  "species": ["Sb", "Ag", "Sb", "I", "Zn"],
  "fractional_positions": [[0.500, 0.000, 0.000], [0.000, 0.000, 0.000], [0.000, 0.500, 0.000], [0.000, 0.000, 0.500], [0.500, 0.500, 0.500]],
  "space_group": "P4/mmm, No. 123",
  "dos_at_fermi_per_ev_atom": 1.127,
  "crystal_system": "tetragonal",
  "e_form_raw_mev_per_atom": 683
}